A plane-wave DFT calculation with GGA+U was carried out for CrFeN2F after structural relaxation.

The structure in POSCAR format:
```
CrFeN2F
1.0
3.778 0.000 0.000
0.000 3.778 0.000
0.000 0.000 3.771
Cr Fe N F
1 1 2 1
Direct
0.000 0.000 0.000
0.500 0.500 0.500
0.000 0.500 0.500
0.500 0.000 0.500
0.500 0.500 0.000
```

energy above the lowest structure with this stoichiometry	419	meV/atom
E	-28.92	eV/cell
N(E_F)	0.36	states/eV per atom
space-group type	P4/mmm, No. 123
magnetic moment	3.29	μB/f.u.